Computed, not measured: a relaxed structure of Dy2UCuS5 at the PBE level of DFT.

Output
Formation energy from raw total energies in kJ/mol of formula units: -1299

Unit cell a=8.8757 b=8.8757 c=11.2758 alpha=90.00 beta=90.00 gamma=155.43
Last column: nearest neighbours and their distance in Å.
Fractional positions:
Dy1 0.0988 0.9012 0.5000  7 S 2.81-2.91
Dy2 0.1168 0.8832 0.1257  6 S 2.73-2.92
Dy3 0.8832 0.1168 0.6257  6 S 2.73-2.92
Dy4 0.9012 0.0988 0.0000  7 S 2.81-2.91
U1 0.1984 0.8016 0.8245  6 S 2.67-2.80
U2 0.8016 0.1984 0.3245  6 S 2.67-2.80
Cu1 0.4401 0.5599 0.2635  4 S 2.26-2.35
Cu2 0.5599 0.4401 0.7635  4 S 2.26-2.35
S1 0.0480 0.9520 0.8743  2 Cu 2.27
S2 0.2952 0.7048 0.4997  2 U 2.74, 2 Dy 2.81
S3 0.3249 0.6751 0.1539  1 Cu 2.35
S4 0.3599 0.6401 0.8198  1 U 2.80, 4 Dy 2.87-2.92
S5 0.4945 0.5055 0.5906  1 Cu 2.26
S6 0.5055 0.4945 0.0906  1 Cu 2.26
S7 0.6401 0.3599 0.3198  1 U 2.80, 4 Dy 2.87-2.92
S8 0.6751 0.3249 0.6539  1 Cu 2.35
S9 0.7048 0.2952 0.9997  2 U 2.74, 2 Dy 2.81
S10 0.9520 0.0480 0.3743  2 Cu 2.27